Entry 1:
Entry from the Alexandria database: a geometry-optimized TlHg2Pb structure (PBE). Values from VASP.

Structure (Quantum ESPRESSO input):
```
&SYSTEM
  ibrav = 0, nat = 4, ntyp = 3
/
ATOMIC_SPECIES
Tl 204.38 Tl.upf
Hg 200.59 Hg.upf
Pb 207.20 Pb.upf
ATOMIC_POSITIONS crystal
Tl 0.000 0.000 0.000
Hg 0.000 0.000 0.469
Hg 0.500 0.500 0.246
Pb 0.500 0.500 0.717
CELL_PARAMETERS angstrom
3.860 0.000 0.000
0.000 3.860 0.000
0.000 0.000 7.617
```

## Properties
The calculation puts the density of states at the Fermi level at 0.301 states/eV/atom. The value obtained for the total magnetization is 0.00 μB per atom. The crystal system is tetragonal. As for the energy relative to the elements: 0.098 eV per formula unit. For the total energy, the calculation gives -6.58 eV for the cell shown.

---

Entry 2:
Entry from the Alexandria database: a geometry-optimized Tl5Hg6Pb structure (PBE). Values from VASP.

Structure (Quantum ESPRESSO input):
```
&SYSTEM
  ibrav = 0, nat = 12, ntyp = 3
/
ATOMIC_SPECIES
Tl 204.38 Tl.upf
Hg 200.59 Hg.upf
Pb 207.20 Pb.upf
ATOMIC_POSITIONS crystal
Tl 0.000 0.000 0.000
Tl 0.333 0.000 0.663
Tl 0.337 0.500 0.668
Tl 0.663 0.500 0.332
Tl 0.667 0.000 0.337
Hg 0.162 0.250 0.331
Hg 0.162 0.750 0.331
Hg 0.500 0.251 0.000
Hg 0.500 0.749 0.000
Hg 0.838 0.250 0.669
Hg 0.838 0.750 0.669
Pb 0.000 0.500 0.000
CELL_PARAMETERS angstrom
5.021 0.000 0.000
0.000 8.355 0.000
-2.374 0.000 8.260
```

## Properties
The calculation puts the density of states at the Fermi level at 0.348 states/eV/atom. The value obtained for the total magnetization is 0.00 μB per atom. The crystal system is monoclinic. As for the energy relative to the elements: -0.032 eV per formula unit. For the total energy, the calculation gives -17.38 eV for the cell shown.

---

Entry 3:
Entry from the Alexandria database: a geometry-optimized Tl2Hg2Pb structure (PBE). Values from VASP.

Structure (Quantum ESPRESSO input):
```
&SYSTEM
  ibrav = 0, nat = 10, ntyp = 3
/
ATOMIC_SPECIES
Tl 204.38 Tl.upf
Hg 200.59 Hg.upf
Pb 207.20 Pb.upf
ATOMIC_POSITIONS crystal
Tl 0.121 0.277 0.147
Tl 0.277 0.121 0.647
Tl 0.723 0.879 0.353
Tl 0.879 0.723 0.853
Hg 0.323 0.482 0.566
Hg 0.482 0.323 0.066
Hg 0.518 0.677 0.934
Hg 0.677 0.518 0.434
Pb 0.095 0.905 0.250
Pb 0.905 0.095 0.750
CELL_PARAMETERS angstrom
7.842 -2.983 0.000
7.842 2.983 0.000
-1.811 0.000 6.250
```

## Properties
The energy above the lowest structure with this stoichiometry comes out at 0.00 eV/f.u. The calculation puts the density of states at the Fermi level at 0.413 states/eV/atom. The value obtained for the total magnetization is 0.00 μB per atom. The crystal system is monoclinic. As for the energy relative to the elements: 0.067 eV per formula unit. For the total energy, the calculation gives -17.95 eV for the cell shown.

---

Entry 4:
Entry from the Alexandria database: a geometry-optimized Tl6HgPb2 structure (PBE). Values from VASP.

Structure (Quantum ESPRESSO input):
```
&SYSTEM
  ibrav = 0, nat = 9, ntyp = 3
/
ATOMIC_SPECIES
Tl 204.38 Tl.upf
Hg 200.59 Hg.upf
Pb 207.20 Pb.upf
ATOMIC_POSITIONS crystal
Tl 0.000 0.000 0.064
Tl 0.000 0.000 0.285
Tl 0.000 0.000 0.715
Tl 0.000 0.000 0.936
Tl 0.333 0.667 0.398
Tl 0.333 0.667 0.602
Hg 0.000 0.000 0.500
Pb 0.333 0.667 0.175
Pb 0.333 0.667 0.825
CELL_PARAMETERS angstrom
3.572 0.000 0.000
-1.786 3.094 0.000
0.000 0.000 25.203
```

## Properties
The energy above the lowest structure with this stoichiometry comes out at 0.00 eV/f.u. The calculation puts the density of states at the Fermi level at 0.519 states/eV/atom. The value obtained for the total magnetization is 0.00 μB per atom. The crystal system is hexagonal. As for the energy relative to the elements: 0.070 eV per formula unit. For the total energy, the calculation gives -21.85 eV for the cell shown.